VASP calculation (PBE-GGA) on a geometry-optimized Re4Sb structure.

Properties
uncorrected formation energy = 3.026 eV per atom
ΔE to the lowest computed polymorph = 2605 meV/atom
space-group type = No. 221

Unit cell a=4.726 b=4.726 c=4.726 alpha=90.00 beta=90.00 gamma=90.00
Last column: magnetic moment on the atom in μB.
Atoms (fractional coordinates):
Sb: 0.500 0.500 0.500  0.02
Re: 0.000 0.000 0.000  1.97
Re: 0.500 0.000 0.500  -0.24
Re: 0.000 0.500 0.500  -0.24
Re: 0.500 0.500 0.000  -0.24

---

VASP calculation (PBE-GGA) on a geometry-optimized K2LiAg structure.

Properties
ΔE to the lowest computed polymorph = 165 meV/atom
space-group type = No. 166
ΔH_f (0 K) = 206 meV/atom

Unit cell a=10.660 b=10.660 c=10.660 alpha=24.02 beta=24.02 gamma=24.02
Atoms (fractional coordinates):
Ag: 0.750 0.750 0.750
K: 0.012 0.012 0.012
K: 0.488 0.488 0.488
Li: 0.250 0.250 0.250

---

VASP calculation (PBE-GGA) on a geometry-optimized CuHgCl2 structure.

Properties
uncorrected formation energy = 0.099 eV per atom
ΔE to the lowest computed polymorph = 470 meV/atom
space-group type = No. 123

Unit cell a=4.880 b=4.880 c=3.526 alpha=90.00 beta=90.00 gamma=90.00
Atoms (fractional coordinates):
Hg: 0.000 0.500 0.500
Cu: 0.500 0.000 0.500
Cl: 0.000 0.000 0.000
Cl: 0.500 0.500 0.000

---

VASP calculation (PBE-GGA) on a geometry-optimized GeIF structure.

Properties
uncorrected formation energy = -1.069 eV per atom
ΔE to the lowest computed polymorph = 81 meV/atom
space-group type = No. 63

Unit cell a=4.136 b=4.211 c=9.802 alpha=102.40 beta=90.00 gamma=90.00
Atoms (fractional coordinates):
Ge: 0.750 0.061 0.122
Ge: 0.250 0.939 0.878
F: 0.250 0.435 0.870
F: 0.750 0.565 0.130
I: 0.250 0.161 0.322
I: 0.750 0.839 0.678

---

VASP calculation (PBE-GGA) on a geometry-optimized YMg3Cu3 structure.

Properties
ΔE to the lowest computed polymorph = 95 meV/atom
space-group type = No. 11
ΔH_f (0 K) = -43 meV/atom

Unit cell a=7.701 b=8.558 c=4.334 alpha=90.00 beta=90.00 gamma=111.68
Atoms (fractional coordinates):
Y: 0.626 0.440 0.250
Y: 0.374 0.560 0.750
Mg: 0.145 0.262 0.250
Mg: 0.519 0.862 0.250
Mg: 0.093 0.642 0.250
Mg: 0.855 0.738 0.750
Mg: 0.481 0.138 0.750
Mg: 0.907 0.358 0.750
Cu: 0.237 0.986 0.250
Cu: 0.757 0.171 0.250
Cu: 0.894 0.935 0.250
Cu: 0.763 0.014 0.750
Cu: 0.243 0.829 0.750
Cu: 0.106 0.065 0.750

---

VASP calculation (PBE-GGA) on a geometry-optimized Cs3NaCo structure.

Properties
ΔE to the lowest computed polymorph = 0 meV/atom
space-group type = No. 221
ΔH_f (0 K) = 594 meV/atom

Unit cell a=7.038 b=7.038 c=7.038 alpha=90.00 beta=90.00 gamma=90.00
Last column: magnetic moment on the atom in μB.
Atoms (fractional coordinates):
Cs: 0.000 0.500 0.000  -0.01
Cs: 0.000 0.000 0.500  -0.01
Cs: 0.500 0.000 0.000  -0.01
Na: 0.500 0.500 0.500  0.00
Co: 0.000 0.000 0.000  1.81

---

VASP calculation (PBE-GGA) on a geometry-optimized YAuSe2 structure.

Properties
uncorrected formation energy = -1.111 eV per atom
space-group type = No. 38

Unit cell a=6.603 b=6.603 c=3.898 alpha=89.99 beta=89.99 gamma=33.71
Atoms (fractional coordinates):
Au: 0.254 0.254 0.125
Se: 0.030 0.030 0.125
Se: 0.769 0.769 0.625
Y: 0.448 0.448 0.625

---

VASP calculation (PBE-GGA) on a geometry-optimized Na3ScSb structure.

Properties
uncorrected formation energy = 0.386 eV per atom
ΔE to the lowest computed polymorph = 0 meV/atom
space-group type = No. 221

Unit cell a=5.841 b=5.841 c=5.841 alpha=90.00 beta=90.00 gamma=90.00
Last column: magnetic moment on the atom in μB.
Atoms (fractional coordinates):
Sc: 0.500 0.500 0.500  0.80
Sb: 0.000 0.000 0.000  -0.01
Na: 0.000 0.500 0.000  0.00
Na: 0.000 0.000 0.500  0.00
Na: 0.500 0.000 0.000  0.00

---

VASP calculation (PBE-GGA) on a geometry-optimized BaTc2 structure.

Properties
ΔE to the lowest computed polymorph = 1643 meV/atom
space-group type = No. 205
ΔH_f (0 K) = 2050 meV/atom

Unit cell a=6.952 b=6.952 c=6.952 alpha=90.00 beta=90.00 gamma=90.00
Atoms (fractional coordinates):
Ba: 0.000 0.000 0.000
Ba: 0.500 0.500 0.000
Ba: 0.500 0.000 0.500
Ba: 0.000 0.500 0.500
Tc: 0.589 0.589 0.411
Tc: 0.411 0.411 0.589
Tc: 0.089 0.911 0.589
Tc: 0.911 0.089 0.411
Tc: 0.411 0.089 0.089
Tc: 0.589 0.911 0.911
Tc: 0.911 0.411 0.911
Tc: 0.089 0.589 0.089

---

VASP calculation (PBE-GGA) on a geometry-optimized BeTl4Pb structure.

Properties
space-group type = No. 216
ΔH_f (0 K) = 568 meV/atom

Unit cell a=6.396 b=6.396 c=6.396 alpha=60.00 beta=60.00 gamma=60.00
Atoms (fractional coordinates):
Be: 0.750 0.750 0.750
Tl: 0.875 0.375 0.375
Tl: 0.375 0.375 0.875
Tl: 0.375 0.875 0.375
Tl: 0.375 0.375 0.375
Pb: 0.000 0.000 0.000

---

VASP calculation (PBE-GGA) on a geometry-optimized TbCuNiAg structure.

Properties
space-group type = No. 216
ΔH_f (0 K) = -139 meV/atom

Unit cell a=4.606 b=4.606 c=4.606 alpha=60.00 beta=60.00 gamma=60.00
Atoms (fractional coordinates):
Ni: 0.750 0.750 0.750
Tb: 0.500 0.500 0.500
Cu: 0.250 0.250 0.250
Ag: 0.000 0.000 0.000

---

VASP calculation (PBE-GGA) on a geometry-optimized Ta2BeN structure.

Properties
uncorrected formation energy = 0.220 eV per atom
ΔE to the lowest computed polymorph = 592 meV/atom
space-group type = No. 122

Unit cell a=4.927 b=4.927 c=6.219 alpha=66.66 beta=66.66 gamma=90.00
Atoms (fractional coordinates):
Be: 0.500 0.500 0.000
Be: 0.250 0.750 0.500
N: 0.000 0.000 0.000
N: 0.750 0.250 0.500
Ta: 0.682 0.125 0.250
Ta: 0.068 0.625 0.250
Ta: 0.375 0.318 0.750
Ta: 0.875 0.932 0.750

---

VASP calculation (PBE-GGA) on a geometry-optimized LiHfSn2 structure.

Properties
ΔE to the lowest computed polymorph = 278 meV/atom
space-group type = No. 122
ΔH_f (0 K) = 18 meV/atom

Unit cell a=7.501 b=7.501 c=6.146 alpha=52.39 beta=52.39 gamma=90.00
Atoms (fractional coordinates):
Hf: 0.000 0.000 0.000
Hf: 0.750 0.250 0.500
Sn: 0.590 0.125 0.250
Sn: 0.160 0.625 0.250
Sn: 0.375 0.410 0.750
Sn: 0.875 0.840 0.750
Li: 0.500 0.500 0.000
Li: 0.250 0.750 0.500

---

VASP calculation (PBE-GGA) on a geometry-optimized In2NiW structure.

Properties
ΔE to the lowest computed polymorph = 96 meV/atom
space-group type = No. 166
ΔH_f (0 K) = 382 meV/atom

Unit cell a=9.083 b=9.083 c=9.083 alpha=19.06 beta=19.06 gamma=19.06
Atoms (fractional coordinates):
In: 0.757 0.757 0.757
In: 0.243 0.243 0.243
Ni: 0.500 0.500 0.500
W: 0.000 0.000 0.000

---

VASP calculation (PBE-GGA) on a geometry-optimized ZnSb2TeN structure.

Properties
uncorrected formation energy = 0.675 eV per atom
ΔE to the lowest computed polymorph = 0 meV/atom
space-group type = No. 123

Unit cell a=4.831 b=4.831 c=4.657 alpha=90.00 beta=90.00 gamma=90.00
Atoms (fractional coordinates):
Sb: 0.000 0.500 0.000
Sb: 0.500 0.000 0.000
Zn: 0.500 0.500 0.500
Te: 0.000 0.000 0.500
N: 0.000 0.000 0.000

---

VASP calculation (PBE-GGA) on a geometry-optimized NaVW2 structure.

Properties
ΔE to the lowest computed polymorph = 198 meV/atom
space-group type = No. 35
ΔH_f (0 K) = 464 meV/atom

Unit cell a=3.092 b=4.474 c=20.161 alpha=90.00 beta=90.00 gamma=90.00
Last column: magnetic moment on the atom in μB.
Atoms (fractional coordinates):
Na: 0.000 0.500 0.026  0.00
Na: 0.500 0.000 0.026  0.00
Na: 0.000 0.500 0.749  0.00
Na: 0.500 0.000 0.749  0.00
V: 0.000 0.000 0.887  0.76
V: 0.500 0.500 0.887  0.76
V: 0.000 0.500 0.500  0.00
V: 0.500 0.000 0.500  0.00
W: 0.000 0.000 0.168  0.00
W: 0.500 0.500 0.168  0.00
W: 0.000 0.000 0.393  0.00
W: 0.500 0.500 0.393  0.00
W: 0.000 0.000 0.606  0.00
W: 0.500 0.500 0.606  0.00
W: 0.000 0.500 0.280  0.01
W: 0.500 0.000 0.280  0.01

---

VASP calculation (PBE-GGA) on a geometry-optimized NbGe2Ru structure.

Properties
ΔE to the lowest computed polymorph = 277 meV/atom
space-group type = No. 166
ΔH_f (0 K) = 84 meV/atom

Unit cell a=2.937 b=2.937 c=9.382 alpha=80.99 beta=80.99 gamma=60.00
Atoms (fractional coordinates):
Ru: 0.500 0.500 0.500
Nb: 0.000 0.000 0.000
Ge: 0.097 0.097 0.708
Ge: 0.903 0.903 0.292

---

VASP calculation (PBE-GGA) on a geometry-optimized LaHo2Cu3 structure.

Properties
space-group type = No. 123
ΔH_f (0 K) = -222 meV/atom

Unit cell a=3.496 b=3.496 c=10.661 alpha=90.00 beta=90.00 gamma=90.00
Atoms (fractional coordinates):
La: 0.500 0.500 0.500
Ho: 0.500 0.500 0.840
Ho: 0.500 0.500 0.160
Cu: 0.000 0.000 0.000
Cu: 0.000 0.000 0.689
Cu: 0.000 0.000 0.311

---

VASP calculation (PBE-GGA) on a geometry-optimized Ce4SnPb5 structure.

Properties
ΔE to the lowest computed polymorph = 0 meV/atom
space-group type = No. 12
ΔH_f (0 K) = -370 meV/atom

Unit cell a=5.901 b=6.680 c=8.168 alpha=97.02 beta=111.18 gamma=90.00
Last column: magnetic moment on the atom in μB.
Atoms (fractional coordinates):
Ce: 0.688 0.304 0.376  0.76
Ce: 0.086 0.854 0.173  0.85
Ce: 0.312 0.696 0.624  0.76
Ce: 0.914 0.146 0.827  0.85
Sn: 0.500 0.000 0.000  0.00
Pb: 0.298 0.189 0.595  0.01
Pb: 0.114 0.380 0.228  0.00
Pb: 0.886 0.620 0.772  0.00
Pb: 0.500 0.500 0.000  0.00
Pb: 0.702 0.811 0.405  0.01

---

VASP calculation (PBE-GGA) on a geometry-optimized PrScCuPb structure.

Properties
space-group type = No. 216
ΔH_f (0 K) = -244 meV/atom

Unit cell a=5.188 b=5.188 c=5.188 alpha=60.00 beta=60.00 gamma=60.00
Last column: magnetic moment on the atom in μB.
Atoms (fractional coordinates):
Pb: 0.750 0.750 0.750  -0.02
Pr: 0.000 0.000 0.000  0.11
Sc: 0.500 0.500 0.500  0.26
Cu: 0.250 0.250 0.250  0.02

---

VASP calculation (PBE-GGA) on a geometry-optimized CrCo2Ru structure.

Properties
ΔE to the lowest computed polymorph = 100 meV/atom
space-group type = No. 12
ΔH_f (0 K) = 152 meV/atom

Unit cell a=4.419 b=4.419 c=4.389 alpha=79.84 beta=79.84 gamma=33.90
Last column: magnetic moment on the atom in μB.
Atoms (fractional coordinates):
Co: 0.998 0.998 0.007  0.77
Co: 0.502 0.502 0.493  0.77
Cr: 0.250 0.250 0.250  0.17
Ru: 0.750 0.750 0.750  -0.01

---

VASP calculation (PBE-GGA) on a geometry-optimized Ta3H2 structure.

Properties
ΔE to the lowest computed polymorph = 0 meV/atom
space-group type = No. 2

Unit cell a=4.827 b=5.721 c=5.637 alpha=61.76 beta=64.75 gamma=64.97
Atoms (fractional coordinates):
Ta: 0.326 0.588 0.761
Ta: 0.674 0.912 0.739
Ta: 0.000 0.250 0.750
Ta: 0.000 0.750 0.250
Ta: 0.326 0.088 0.261
Ta: 0.674 0.412 0.239
H: 0.739 0.001 0.000
H: 0.739 0.501 0.500
H: 0.261 0.499 0.500
H: 0.261 0.999 0.000

---

VASP calculation (PBE-GGA) on a geometry-optimized Rb2SrHPd structure.

Properties
space-group type = No. 123
VASP energy = -1.8864 eV/atom

Unit cell a=7.314 b=4.338 c=7.314 alpha=90.00 beta=90.00 gamma=90.00
Atoms (fractional coordinates):
Sr: 0.000 0.000 0.000
Rb: 0.000 0.000 0.500
Rb: 0.500 0.000 0.000
Pd: 0.500 0.500 0.500
H: 0.000 0.500 0.000

---

VASP calculation (PBE-GGA) on a geometry-optimized PaGaBi structure.

Properties
ΔE to the lowest computed polymorph = 203 meV/atom
space-group type = No. 187
ΔH_f (0 K) = 47 meV/atom

Unit cell a=3.169 b=5.223 c=5.223 alpha=120.00 beta=90.00 gamma=90.00
Last column: magnetic moment on the atom in μB.
Atoms (fractional coordinates):
Pa: 0.333 0.667 0.333  0.53
Bi: 0.835 0.333 0.667  0.00
Ga: 0.832 0.000 0.000  0.00

---

VASP calculation (PBE-GGA) on a geometry-optimized PaTa2H8 structure.

Properties
ΔE to the lowest computed polymorph = 0 meV/atom
space-group type = No. 123

Unit cell a=4.395 b=4.395 c=5.168 alpha=90.00 beta=90.00 gamma=90.00
Last column: magnetic moment on the atom in μB.
Atoms (fractional coordinates):
Pa: 0.500 0.500 0.500  0.56
Ta: 0.500 0.000 0.000  0.02
Ta: 0.000 0.500 0.000  0.02
H: 0.772 0.772 0.222  0.00
H: 0.772 0.228 0.778  0.00
H: 0.772 0.772 0.778  0.00
H: 0.772 0.228 0.222  0.00
H: 0.228 0.772 0.222  0.00
H: 0.228 0.772 0.778  0.00
H: 0.228 0.228 0.222  0.00
H: 0.228 0.228 0.778  0.00

---

VASP calculation (PBE-GGA) on a geometry-optimized TcNiP structure.

Properties
ΔE to the lowest computed polymorph = 0 meV/atom
space-group type = No. 11
ΔH_f (0 K) = -502 meV/atom

Unit cell a=3.708 b=5.751 c=10.184 alpha=90.10 beta=90.00 gamma=90.00
Atoms (fractional coordinates):
Tc: 0.750 0.527 0.378
Tc: 0.250 0.979 0.716
Tc: 0.750 0.021 0.284
Tc: 0.750 0.643 0.089
Tc: 0.250 0.473 0.622
Tc: 0.250 0.357 0.911
Ni: 0.250 0.989 0.086
Ni: 0.250 0.855 0.457
Ni: 0.750 0.634 0.791
Ni: 0.750 0.145 0.543
Ni: 0.250 0.366 0.209
Ni: 0.750 0.011 0.914
P: 0.250 0.759 0.914
P: 0.750 0.259 0.751
P: 0.750 0.755 0.579
P: 0.750 0.241 0.086
P: 0.250 0.245 0.421
P: 0.250 0.741 0.249